#w
TaBiNF2: optimized geometry, PBE-GGA.

a = 4.363 Å, b = 4.363 Å, c = 4.949 Å
α = 90.00°, β = 90.00°, γ = 90.00°
Sites, in units of the cell vectors:
Ta: 0.000 0.000 0.000
Bi: 0.500 0.500 0.500
N: 0.500 0.500 0.000
F: 0.000 0.500 0.500
F: 0.500 0.000 0.500

For the calculated density, the calculation gives 7.8 g cm⁻³.

#x
TaBiNF2: optimized geometry, PBE-GGA.

a = 4.295 Å, b = 4.295 Å, c = 4.092 Å
α = 90.00°, β = 90.00°, γ = 90.00°
Sites, in units of the cell vectors:
Ta: 0.000 0.000 0.000
Bi: 0.500 0.500 0.500
N: 0.000 0.000 0.500
F: 0.000 0.500 0.000
F: 0.500 0.000 0.000

For the calculated density, the calculation gives 9.7 g cm⁻³.

Pick #x: it beats the second-best structure by 1.378 eV/atom.

#w
TaBiN2F: optimized geometry, PBE-GGA.

a = 4.393 Å, b = 4.393 Å, c = 4.189 Å
α = 90.00°, β = 90.00°, γ = 90.00°
Sites, in units of the cell vectors:
Ta: 0.000 0.000 0.000
Bi: 0.500 0.500 0.500
N: 0.000 0.500 0.500
N: 0.500 0.000 0.500
F: 0.500 0.500 0.000

For the calculated density, the calculation gives 9.0 g cm⁻³.

#x
TaBiN2F: optimized geometry, PBE-GGA.

a = 4.159 Å, b = 4.159 Å, c = 4.099 Å
α = 90.00°, β = 90.00°, γ = 90.00°
Sites, in units of the cell vectors:
Ta: 0.000 0.000 0.000
Bi: 0.500 0.500 0.500
N: 0.000 0.500 0.000
N: 0.500 0.000 0.000
F: 0.000 0.000 0.500

For the calculated density, the calculation gives 10.2 g cm⁻³.

Pick #x: it beats the second-best structure by 1.798 eV/atom.

#w
BiTeN2F: optimized geometry, PBE-GGA.

a = 4.447 Å, b = 4.447 Å, c = 4.322 Å
α = 90.00°, β = 90.00°, γ = 90.00°
Sites, in units of the cell vectors:
Bi: 0.000 0.000 0.000
Te: 0.500 0.500 0.500
N: 0.000 0.500 0.000
N: 0.500 0.000 0.000
F: 0.000 0.000 0.500

For the calculated density, the calculation gives 7.5 g cm⁻³.

#x
BiTeN2F: optimized geometry, PBE-GGA.

a = 4.304 Å, b = 4.304 Å, c = 4.270 Å
α = 90.00°, β = 90.00°, γ = 90.00°
Sites, in units of the cell vectors:
Bi: 0.000 0.000 0.000
Te: 0.500 0.500 0.500
N: 0.000 0.500 0.500
N: 0.500 0.000 0.500
F: 0.500 0.500 0.000

For the calculated density, the calculation gives 8.1 g cm⁻³.

Pick #x: it beats the second-best structure by 0.239 eV/atom.

#w
BiTeN2F: optimized geometry, PBE-GGA.

a = 4.708 Å, b = 4.708 Å, c = 4.199 Å
α = 90.00°, β = 90.00°, γ = 90.00°
Sites, in units of the cell vectors:
Bi: 0.000 0.000 0.000
Te: 0.500 0.500 0.000
N: 0.000 0.500 0.500
N: 0.500 0.000 0.500
F: 0.500 0.500 0.500

For the calculated density, the calculation gives 6.8 g cm⁻³.

#x
BiTeN2F: optimized geometry, PBE-GGA.

a = 4.311 Å, b = 4.311 Å, c = 6.390 Å
α = 90.00°, β = 90.00°, γ = 90.00°
Sites, in units of the cell vectors:
Bi: 0.000 0.000 0.000
Te: 0.000 0.000 0.500
N: 0.000 0.500 0.000
N: 0.500 0.000 0.000
F: 0.500 0.500 0.500

For the calculated density, the calculation gives 5.4 g cm⁻³.

Pick #x: it beats the second-best structure by 0.125 eV/atom.